DFT (PBE) results for crystalline Sm3Mg2Cd at its relaxed geometry.

```
Sm3Mg2Cd
1.0
-1.967 -0.564 3.254
3.114 -1.577 1.609
3.277 10.314 3.769
Sm Cd Mg
3 1 2
direct
0.000 0.000 0.000
0.000 0.000 0.665
0.000 0.000 0.335
0.500 0.500 0.500
0.500 0.500 0.165
0.500 0.500 0.835
```

space group: No. 123
mass density: 6.00 g/cm³
E_tot: -19.30 eV/f.u.
magnetic moment: 0.00 μB/f.u.
formation energy: -16.6 kJ per mole of atoms
crystal system: tetragonal

---

DFT (PBE) results for crystalline TcRuF2 at its relaxed geometry.

```
TcRuF2
1.0
0.000 2.901 2.901
2.901 0.000 2.901
2.901 2.901 0.000
F Tc Ru
2 1 1
direct
0.750 0.750 0.750
0.250 0.250 0.250
0.000 0.000 0.000
0.500 0.500 0.500
```

space group: No. 225
mass density: 8.06 g/cm³
E_tot: -21.05 eV/f.u.
magnetic moment: 0.00 μB/f.u.
crystal system: cubic
raw formation energy: 0.583 eV per atom

---

DFT (PBE) results for crystalline PH2Ir at its relaxed geometry.

```
PH2Ir
1.0
3.435 0.000 0.000
0.000 3.435 0.000
1.718 1.718 6.772
H P Ir
4 2 2
direct
0.875 0.125 0.250
0.375 0.125 0.750
0.875 0.625 0.250
0.875 0.125 0.750
0.500 0.500 0.000
0.250 0.750 0.500
0.750 0.250 0.500
0.000 0.000 0.000
```

space group: No. 141
mass density: 9.36 g/cm³
E_tot: -19.35 eV/f.u.
magnetic moment: 0.00 μB/f.u.
crystal system: tetragonal